No. 1
First-principles (PBE) data for a relaxed Li3TcH7 crystal, as listed in the Alexandria database.

Cell and atoms, written as CIF:
```
data_Li3TcH7
_space_group_name_H-M_alt 'P 1'
_space_group_IT_number 1
_space_group_name_Hall 'P 1'
_cell_length_a 5.045
_cell_length_b 5.045
_cell_length_c 4.212
_cell_angle_alpha 114.64
_cell_angle_beta 114.64
_cell_angle_gamma 98.63
loop_
_atom_site_label
_atom_site_type_symbol
_atom_site_fract_x
_atom_site_fract_y
_atom_site_fract_z
Li1 Li 0.000 0.000 0.000
Li2 Li 0.254 0.751 0.530
Li3 Li 0.751 0.254 0.530
Tc1 Tc 0.536 0.536 0.082
H1 H 0.181 0.422 0.016
H2 H 0.275 0.275 0.574
H3 H 0.375 0.819 0.101
H4 H 0.422 0.181 0.016
H5 H 0.596 0.596 0.555
H6 H 0.819 0.375 0.101
H7 H 0.879 0.879 0.399
```

Properties
- Symmetry: Cm (8)



No. 2
First-principles (PBE) data for a relaxed Li3TcH crystal, as listed in the Alexandria database.

Cell and atoms, written as CIF:
```
data_Li3TcH
_space_group_name_H-M_alt 'P 1'
_space_group_IT_number 1
_space_group_name_Hall 'P 1'
_cell_length_a 3.988
_cell_length_b 3.988
_cell_length_c 3.988
_cell_angle_alpha 90.00
_cell_angle_beta 90.00
_cell_angle_gamma 90.00
loop_
_atom_site_label
_atom_site_type_symbol
_atom_site_fract_x
_atom_site_fract_y
_atom_site_fract_z
Li1 Li 0.000 0.000 0.500
Li2 Li 0.000 0.500 0.000
Li3 Li 0.500 0.000 0.000
Tc1 Tc 0.500 0.500 0.500
H1 H 0.000 0.000 0.000
```

Properties
- Symmetry: Pm-3m (221)



No. 3
First-principles (PBE) data for a relaxed Li3TcH crystal, as listed in the Alexandria database.

Cell and atoms, written as CIF:
```
data_Li3TcH
_space_group_name_H-M_alt 'P 1'
_space_group_IT_number 1
_space_group_name_Hall 'P 1'
_cell_length_a 5.176
_cell_length_b 5.176
_cell_length_c 5.176
_cell_angle_alpha 90.00
_cell_angle_beta 90.00
_cell_angle_gamma 90.00
loop_
_atom_site_label
_atom_site_type_symbol
_atom_site_fract_x
_atom_site_fract_y
_atom_site_fract_z
Li1 Li 0.000 0.000 0.500
Li2 Li 0.000 0.500 0.000
Li3 Li 0.500 0.000 0.000
Tc1 Tc 0.000 0.000 0.000
H1 H 0.500 0.500 0.500
```

Properties
- Symmetry: Pm-3m (221)



No. 4
First-principles (PBE) data for a relaxed Li2TcH crystal, as listed in the Alexandria database.

Cell and atoms, written as CIF:
```
data_Li2TcH
_space_group_name_H-M_alt 'P 1'
_space_group_IT_number 1
_space_group_name_Hall 'P 1'
_cell_length_a 4.851
_cell_length_b 4.851
_cell_length_c 4.851
_cell_angle_alpha 119.98
_cell_angle_beta 119.98
_cell_angle_gamma 90.03
loop_
_atom_site_label
_atom_site_type_symbol
_atom_site_fract_x
_atom_site_fract_y
_atom_site_fract_z
Li1 Li 0.375 0.118 0.243
Li2 Li 0.868 0.625 0.743
Li3 Li 0.875 0.132 0.757
Li4 Li 0.882 0.125 0.257
Tc1 Tc 0.250 0.750 0.500
Tc2 Tc 0.500 0.500 0.000
H1 H 0.000 0.000 0.000
H2 H 0.750 0.250 0.500
```

Properties
- Symmetry: I-42d (122)



No. 5
First-principles (PBE) data for a relaxed Li2TcH crystal, as listed in the Alexandria database.

Cell and atoms, written as CIF:
```
data_Li2TcH
_space_group_name_H-M_alt 'P 1'
_space_group_IT_number 1
_space_group_name_Hall 'P 1'
_cell_length_a 4.150
_cell_length_b 4.150
_cell_length_c 4.150
_cell_angle_alpha 60.00
_cell_angle_beta 60.00
_cell_angle_gamma 60.00
loop_
_atom_site_label
_atom_site_type_symbol
_atom_site_fract_x
_atom_site_fract_y
_atom_site_fract_z
Li1 Li 0.250 0.250 0.250
Li2 Li 0.750 0.750 0.750
Tc1 Tc 0.000 0.000 0.000
H1 H 0.500 0.500 0.500
```

Properties
- Symmetry: Fm-3m (225)



No. 6
First-principles (PBE) data for a relaxed LiTc2H2 crystal, as listed in the Alexandria database.

Cell and atoms, written as CIF:
```
data_LiTc2H2
_space_group_name_H-M_alt 'P 1'
_space_group_IT_number 1
_space_group_name_Hall 'P 1'
_cell_length_a 5.296
_cell_length_b 5.296
_cell_length_c 5.296
_cell_angle_alpha 140.90
_cell_angle_beta 140.90
_cell_angle_gamma 56.50
loop_
_atom_site_label
_atom_site_type_symbol
_atom_site_fract_x
_atom_site_fract_y
_atom_site_fract_z
Li1 Li 0.000 0.000 0.000
Tc1 Tc 0.250 0.750 0.500
Tc2 Tc 0.750 0.250 0.500
H1 H 0.356 0.356 0.000
H2 H 0.644 0.644 0.000
```

Properties
- Symmetry: I4/mmm (139)



No. 7
First-principles (PBE) data for a relaxed LiZnTcH2 crystal, as listed in the Alexandria database.

Cell and atoms, written as CIF:
```
data_LiZnTcH2
_space_group_name_H-M_alt 'P 1'
_space_group_IT_number 1
_space_group_name_Hall 'P 1'
_cell_length_a 3.477
_cell_length_b 3.477
_cell_length_c 4.565
_cell_angle_alpha 90.00
_cell_angle_beta 90.00
_cell_angle_gamma 90.00
loop_
_atom_site_label
_atom_site_type_symbol
_atom_site_fract_x
_atom_site_fract_y
_atom_site_fract_z
Li1 Li 0.000 0.000 0.000
Zn1 Zn 0.500 0.500 0.000
Tc1 Tc 0.000 0.000 0.500
H1 H 0.000 0.500 0.500
H2 H 0.500 0.000 0.500
```

Properties
- Symmetry: P4/mmm (123)



No. 8
First-principles (PBE) data for a relaxed LiTeH2 crystal, as listed in the Alexandria database.

Cell and atoms, written as CIF:
```
data_LiTeH2
_space_group_name_H-M_alt 'P 1'
_space_group_IT_number 1
_space_group_name_Hall 'P 1'
_cell_length_a 5.724
_cell_length_b 5.724
_cell_length_c 5.724
_cell_angle_alpha 130.02
_cell_angle_beta 130.02
_cell_angle_gamma 73.37
loop_
_atom_site_label
_atom_site_type_symbol
_atom_site_fract_x
_atom_site_fract_y
_atom_site_fract_z
Li1 Li 0.000 0.000 0.000
Li2 Li 0.750 0.250 0.500
Te1 Te 0.250 0.750 0.500
Te2 Te 0.500 0.500 0.000
H1 H 0.056 0.625 0.931
H2 H 0.375 0.306 0.431
H3 H 0.694 0.125 0.069
H4 H 0.875 0.944 0.569
```

Properties
- Symmetry: I-42d (122)



No. 9
First-principles (PBE) data for a relaxed LiTeH3 crystal, as listed in the Alexandria database.

Cell and atoms, written as CIF:
```
data_LiTeH3
_space_group_name_H-M_alt 'P 1'
_space_group_IT_number 1
_space_group_name_Hall 'P 1'
_cell_length_a 3.632
_cell_length_b 3.632
_cell_length_c 3.632
_cell_angle_alpha 90.00
_cell_angle_beta 90.00
_cell_angle_gamma 90.00
loop_
_atom_site_label
_atom_site_type_symbol
_atom_site_fract_x
_atom_site_fract_y
_atom_site_fract_z
Li1 Li 0.000 0.000 0.000
Te1 Te 0.500 0.500 0.500
H1 H 0.000 0.000 0.500
H2 H 0.000 0.500 0.000
H3 H 0.500 0.000 0.000
```

Properties
- Symmetry: Pm-3m (221)



No. 10
First-principles (PBE) data for a relaxed Li12Te3H5 crystal, as listed in the Alexandria database.

Cell and atoms, written as CIF:
```
data_Li12Te3H5
_space_group_name_H-M_alt 'P 1'
_space_group_IT_number 1
_space_group_name_Hall 'P 1'
_cell_length_a 11.873
_cell_length_b 11.873
_cell_length_c 11.873
_cell_angle_alpha 109.47
_cell_angle_beta 109.47
_cell_angle_gamma 109.47
loop_
_atom_site_label
_atom_site_type_symbol
_atom_site_fract_x
_atom_site_fract_y
_atom_site_fract_z
Li1 Li 0.012 0.199 0.114
Li2 Li 0.012 0.312 0.898
Li3 Li 0.085 0.699 0.688
Li4 Li 0.085 0.886 0.398
Li5 Li 0.102 0.614 0.415
Li6 Li 0.102 0.988 0.688
Li7 Li 0.114 0.012 0.199
Li8 Li 0.114 0.602 0.915
Li9 Li 0.188 0.199 0.585
Li10 Li 0.188 0.488 0.602
Li11 Li 0.199 0.114 0.012
Li12 Li 0.199 0.585 0.188
Li13 Li 0.301 0.312 0.915
Li14 Li 0.301 0.488 0.386
Li15 Li 0.312 0.898 0.012
Li16 Li 0.312 0.915 0.301
Li17 Li 0.386 0.301 0.488
Li18 Li 0.386 0.585 0.898
Li19 Li 0.398 0.085 0.886
Li20 Li 0.398 0.812 0.512
Li21 Li 0.415 0.102 0.614
Li22 Li 0.415 0.812 0.801
Li23 Li 0.488 0.386 0.301
Li24 Li 0.488 0.602 0.188
Li25 Li 0.512 0.398 0.812
Li26 Li 0.512 0.614 0.699
Li27 Li 0.585 0.188 0.199
Li28 Li 0.585 0.898 0.386
Li29 Li 0.602 0.188 0.488
Li30 Li 0.602 0.915 0.114
Li31 Li 0.614 0.415 0.102
Li32 Li 0.614 0.699 0.512
Li33 Li 0.688 0.085 0.699
Li34 Li 0.688 0.102 0.988
Li35 Li 0.699 0.512 0.614
Li36 Li 0.699 0.688 0.085
Li37 Li 0.801 0.415 0.812
Li38 Li 0.801 0.886 0.988
Li39 Li 0.812 0.512 0.398
Li40 Li 0.812 0.801 0.415
Li41 Li 0.886 0.398 0.085
Li42 Li 0.886 0.988 0.801
Li43 Li 0.898 0.012 0.312
Li44 Li 0.898 0.386 0.585
Li45 Li 0.915 0.114 0.602
Li46 Li 0.915 0.301 0.312
Li47 Li 0.988 0.688 0.102
Li48 Li 0.988 0.801 0.886
Te1 Te 0.125 0.250 0.375
Te2 Te 0.125 0.375 0.750
Te3 Te 0.250 0.375 0.125
Te4 Te 0.250 0.875 0.625
Te5 Te 0.375 0.125 0.250
Te6 Te 0.375 0.750 0.125
Te7 Te 0.625 0.250 0.875
Te8 Te 0.625 0.875 0.750
Te9 Te 0.750 0.125 0.375
Te10 Te 0.750 0.625 0.875
Te11 Te 0.875 0.625 0.250
Te12 Te 0.875 0.750 0.625
H1 H 0.000 0.000 0.000
H2 H 0.000 0.000 0.500
H3 H 0.000 0.500 0.000
H4 H 0.000 0.500 0.500
H5 H 0.125 0.750 0.875
H6 H 0.125 0.875 0.250
H7 H 0.250 0.125 0.875
H8 H 0.250 0.625 0.375
H9 H 0.375 0.250 0.625
H10 H 0.375 0.625 0.750
H11 H 0.500 0.000 0.000
H12 H 0.500 0.000 0.500
H13 H 0.500 0.500 0.000
H14 H 0.500 0.500 0.500
H15 H 0.625 0.375 0.250
H16 H 0.625 0.750 0.375
H17 H 0.750 0.375 0.625
H18 H 0.750 0.875 0.125
H19 H 0.875 0.125 0.750
H20 H 0.875 0.250 0.125
```

Properties
- Symmetry: Ia-3d (230)



No. 11
First-principles (PBE) data for a relaxed LiTe3H crystal, as listed in the Alexandria database.

Cell and atoms, written as CIF:
```
data_LiTe3H
_space_group_name_H-M_alt 'P 1'
_space_group_IT_number 1
_space_group_name_Hall 'P 1'
_cell_length_a 5.106
_cell_length_b 5.106
_cell_length_c 5.106
_cell_angle_alpha 90.00
_cell_angle_beta 90.00
_cell_angle_gamma 90.00
loop_
_atom_site_label
_atom_site_type_symbol
_atom_site_fract_x
_atom_site_fract_y
_atom_site_fract_z
Li1 Li 0.000 0.000 0.000
Te1 Te 0.000 0.000 0.500
Te2 Te 0.000 0.500 0.000
Te3 Te 0.500 0.000 0.000
H1 H 0.500 0.500 0.500
```

Properties
- Symmetry: Pm-3m (221)



No. 12
First-principles (PBE) data for a relaxed LiTeH2 crystal, as listed in the Alexandria database.

Cell and atoms, written as CIF:
```
data_LiTeH2
_space_group_name_H-M_alt 'P 1'
_space_group_IT_number 1
_space_group_name_Hall 'P 1'
_cell_length_a 4.091
_cell_length_b 4.091
_cell_length_c 4.091
_cell_angle_alpha 60.00
_cell_angle_beta 60.00
_cell_angle_gamma 60.00
loop_
_atom_site_label
_atom_site_type_symbol
_atom_site_fract_x
_atom_site_fract_y
_atom_site_fract_z
Li1 Li 0.000 0.000 0.000
Te1 Te 0.500 0.500 0.500
H1 H 0.250 0.250 0.250
H2 H 0.750 0.750 0.750
```

Properties
- Symmetry: Fm-3m (225)



No. 13
First-principles (PBE) data for a relaxed Li3TeH crystal, as listed in the Alexandria database.

Cell and atoms, written as CIF:
```
data_Li3TeH
_space_group_name_H-M_alt 'P 1'
_space_group_IT_number 1
_space_group_name_Hall 'P 1'
_cell_length_a 5.190
_cell_length_b 5.190
_cell_length_c 5.190
_cell_angle_alpha 90.00
_cell_angle_beta 90.00
_cell_angle_gamma 90.00
loop_
_atom_site_label
_atom_site_type_symbol
_atom_site_fract_x
_atom_site_fract_y
_atom_site_fract_z
Li1 Li 0.000 0.000 0.500
Li2 Li 0.000 0.500 0.000
Li3 Li 0.500 0.000 0.000
Te1 Te 0.000 0.000 0.000
H1 H 0.500 0.500 0.500
```

Properties
- Symmetry: Pm-3m (221)



No. 14
First-principles (PBE) data for a relaxed Li3TeH2 crystal, as listed in the Alexandria database.

Cell and atoms, written as CIF:
```
data_Li3TeH2
_space_group_name_H-M_alt 'P 1'
_space_group_IT_number 1
_space_group_name_Hall 'P 1'
_cell_length_a 9.693
_cell_length_b 9.693
_cell_length_c 6.666
_cell_angle_alpha 105.59
_cell_angle_beta 105.59
_cell_angle_gamma 18.51
loop_
_atom_site_label
_atom_site_type_symbol
_atom_site_fract_x
_atom_site_fract_y
_atom_site_fract_z
Li1 Li 0.038 0.038 0.194
Li2 Li 0.242 0.242 0.161
Li3 Li 0.392 0.392 0.097
Li4 Li 0.608 0.608 0.903
Li5 Li 0.758 0.758 0.839
Li6 Li 0.962 0.962 0.806
Te1 Te 0.371 0.371 0.507
Te2 Te 0.629 0.629 0.493
H1 H 0.059 0.059 0.937
H2 H 0.298 0.298 0.956
H3 H 0.702 0.702 0.044
H4 H 0.941 0.941 0.063
```

Properties
- Symmetry: C2/m (12)



No. 15
First-principles (PBE) data for a relaxed LiTe3H crystal, as listed in the Alexandria database.

Cell and atoms, written as CIF:
```
data_LiTe3H
_space_group_name_H-M_alt 'P 1'
_space_group_IT_number 1
_space_group_name_Hall 'P 1'
_cell_length_a 4.814
_cell_length_b 4.814
_cell_length_c 4.814
_cell_angle_alpha 90.00
_cell_angle_beta 90.00
_cell_angle_gamma 90.00
loop_
_atom_site_label
_atom_site_type_symbol
_atom_site_fract_x
_atom_site_fract_y
_atom_site_fract_z
Li1 Li 0.000 0.000 0.000
Te1 Te 0.000 0.500 0.500
Te2 Te 0.500 0.000 0.500
Te3 Te 0.500 0.500 0.000
H1 H 0.500 0.500 0.500
```

Properties
- Symmetry: Pm-3m (221)



No. 16
First-principles (PBE) data for a relaxed Li3TeH crystal, as listed in the Alexandria database.

Cell and atoms, written as CIF:
```
data_Li3TeH
_space_group_name_H-M_alt 'P 1'
_space_group_IT_number 1
_space_group_name_Hall 'P 1'
_cell_length_a 4.186
_cell_length_b 4.186
_cell_length_c 4.186
_cell_angle_alpha 90.00
_cell_angle_beta 90.00
_cell_angle_gamma 90.00
loop_
_atom_site_label
_atom_site_type_symbol
_atom_site_fract_x
_atom_site_fract_y
_atom_site_fract_z
Li1 Li 0.000 0.000 0.500
Li2 Li 0.000 0.500 0.000
Li3 Li 0.500 0.000 0.000
Te1 Te 0.500 0.500 0.500
H1 H 0.000 0.000 0.000
```

Properties
- Symmetry: Pm-3m (221)



No. 17
First-principles (PBE) data for a relaxed Li6Te2H crystal, as listed in the Alexandria database.

Cell and atoms, written as CIF:
```
data_Li6Te2H
_space_group_name_H-M_alt 'P 1'
_space_group_IT_number 1
_space_group_name_Hall 'P 1'
_cell_length_a 7.349
_cell_length_b 7.349
_cell_length_c 7.349
_cell_angle_alpha 143.60
_cell_angle_beta 129.88
_cell_angle_gamma 63.51
loop_
_atom_site_label
_atom_site_type_symbol
_atom_site_fract_x
_atom_site_fract_y
_atom_site_fract_z
Li1 Li 0.090 0.355 0.735
Li2 Li 0.223 0.000 0.223
Li3 Li 0.379 0.645 0.735
Li4 Li 0.621 0.355 0.265
Li5 Li 0.777 0.000 0.777
Li6 Li 0.910 0.645 0.265
Te1 Te 0.333 0.833 0.500
Te2 Te 0.667 0.167 0.500
H1 H 0.000 0.500 0.500
```

Properties
- Symmetry: Immm (71)



No. 18
First-principles (PBE) data for a relaxed LiTeH3 crystal, as listed in the Alexandria database.

Cell and atoms, written as CIF:
```
data_LiTeH3
_space_group_name_H-M_alt 'P 1'
_space_group_IT_number 1
_space_group_name_Hall 'P 1'
_cell_length_a 4.235
_cell_length_b 4.235
_cell_length_c 4.235
_cell_angle_alpha 90.00
_cell_angle_beta 90.00
_cell_angle_gamma 90.00
loop_
_atom_site_label
_atom_site_type_symbol
_atom_site_fract_x
_atom_site_fract_y
_atom_site_fract_z
Li1 Li 0.000 0.000 0.000
Te1 Te 0.500 0.500 0.500
H1 H 0.000 0.500 0.500
H2 H 0.500 0.000 0.500
H3 H 0.500 0.500 0.000
```

Properties
- Symmetry: Pm-3m (221)



No. 19
First-principles (PBE) data for a relaxed LiTeH2 crystal, as listed in the Alexandria database.

Cell and atoms, written as CIF:
```
data_LiTeH2
_space_group_name_H-M_alt 'P 1'
_space_group_IT_number 1
_space_group_name_Hall 'P 1'
_cell_length_a 5.218
_cell_length_b 5.218
_cell_length_c 6.187
_cell_angle_alpha 90.00
_cell_angle_beta 90.00
_cell_angle_gamma 120.14
loop_
_atom_site_label
_atom_site_type_symbol
_atom_site_fract_x
_atom_site_fract_y
_atom_site_fract_z
Li1 Li 0.167 0.833 0.750
Li2 Li 0.833 0.167 0.250
Te1 Te 0.500 0.500 0.250
Te2 Te 0.500 0.500 0.750
H1 H 0.167 0.833 0.190
H2 H 0.167 0.833 0.310
H3 H 0.833 0.167 0.690
H4 H 0.833 0.167 0.810
```

Properties
- Symmetry: Cmcm (63)



It is found that the E_tot values, taken in the order of the records, are -0.1404 -0.1238 -0.0921 -0.1428 -0.1192 -0.2003 -0.1265 -0.0962 -0.0918 -0.1102 -0.0849 -0.0959 -0.0996 -0.1122 -0.0977 -0.1185 -0.1072 -0.0939 -0.1135 Ha/atom.